[1]
VASP calculation (PBE) on crystalline Tc2NiAs at its relaxed geometry.

Properties
ΔE to the lowest computed polymorph (meV/atom): 1002
Final energy (eV per atom): -6.81
Energy of formation from the pure elements (eV per atom): 0.980
Magnetization (μB per cell): 3.42

Cell: 5.5527 5.5527 10.1940 Å, 90.00 90.00 90.00°
With the nearest neighbours (Å) after each atom.
Space group I-42d (No. 122)
Symmetry-distinct sites (fractional):
Tc 0.2309 0.2500 0.1250 x8  2 Ni 2.28, 2 As 2.40
Ni 0.0000 0.0000 0.0000 x4  4 Tc 2.28
As 0.0000 0.0000 0.5000 x4  4 Tc 2.40

=====

[2]
VASP calculation (PBE) on crystalline Tc2NiAs at its relaxed geometry.

Properties
ΔE to the lowest computed polymorph (meV/atom): 12
Final energy (eV per atom): -7.80
Energy of formation from the pure elements (eV per atom): -0.010
Magnetization (μB per cell): 0.00

Cell: 3.0262 4.2588 8.4018 Å, 90.00 90.00 90.00°
With the nearest neighbours (Å) after each atom.
Space group Imm2 (No. 44)
Symmetry-distinct sites (fractional):
Tc 0.0000 0.0000 0.0000 x2  2 As 2.55, 4 Ni 2.64, 2 Tc 2.75
Tc 0.0000 0.5000 0.2270 x2  4 As 2.62, 4 Ni 2.72-2.88, 4 Tc 2.75-2.86
Ni 0.0000 0.0000 0.4586 x2  2 As 2.35, 4 Tc 2.64
As 0.0000 0.5000 0.7441 x2  2 Ni 2.35, 6 Tc 2.55-2.62

=====

[3]
VASP calculation (PBE) on crystalline Tc2NiAs at its relaxed geometry.

Properties
ΔE to the lowest computed polymorph (meV/atom): 91
Final energy (eV per atom): -7.72
Energy of formation from the pure elements (eV per atom): 0.069
Magnetization (μB per cell): 0.00

Cell: 8.7763 2.8702 4.4447 Å, 90.00 96.79 90.00°
With the nearest neighbours (Å) after each atom.
Space group Cm (No. 8)
Symmetry-distinct sites (fractional):
Tc 0.0000 0.0000 0.0000 x2  3 As 2.61-2.81, 5 Tc 2.61-2.87, 4 Ni 2.62-2.68
Tc 0.2412 0.5000 0.2355 x2  4 As 2.60-2.70, 5 Tc 2.61-2.87, 3 Ni 2.64-2.69
Ni 0.4830 0.0000 0.4869 x2  1 As 2.44, 7 Tc 2.62-2.69
As 0.2461 0.0000 0.7231 x2  1 Ni 2.44, 5 Tc 2.60-2.70

=====

[4]
VASP calculation (PBE) on crystalline Tc2NiAs at its relaxed geometry.

Properties
ΔE to the lowest computed polymorph (meV/atom): 153
Final energy (eV per atom): -7.66
Energy of formation from the pure elements (eV per atom): 0.130
Magnetization (μB per cell): 0.00

Cell: 8.4410 2.8304 4.8048 Å, 90.00 102.85 90.00°
With the nearest neighbours (Å) after each atom.
Space group C2/m (No. 12)
Symmetry-distinct sites (fractional):
Tc 0.2456 0.0000 0.2641 x4  3 Ni 2.57-2.61, 3 As 2.60-2.73, 4 Tc 2.66-2.83
Ni 0.0000 0.0000 0.5000 x2  6 Tc 2.57-2.61, 4 As 2.79, 2 Ni 2.83
As 0.0000 0.5000 0.0000 x2  6 Tc 2.60-2.73, 4 Ni 2.79, 2 As 2.83